Compound: CrCoOs2
Source: Alexandria via LeMat-Bulk
Functional: meta-GGA SCAN
Structure: PBEsol geometry

```
data_CrCoOs2
_chemical_formula_sum 'Cr2 Co2 Os4'
_cell_length_a 3.9560
_cell_length_b 2.6261
_cell_length_c 9.4715
_cell_angle_alpha 90.00
_cell_angle_beta 90.00
_cell_angle_gamma 90.00
_space_group_name_H-M_alt 'A m m 2'
_space_group_IT_number 38
_space_group_name_Hall 'A 2 -2'
loop_
_atom_site_label
_atom_site_type_symbol
_atom_site_fract_x
_atom_site_fract_y
_atom_site_fract_z
_atom_site_occupancy
Cr1 Cr 0.0000 0.0000 0.0000 1
Co1 Co 0.5000 0.0000 0.1238 1
Os1 Os 0.0000 0.0000 0.7323 1
Os2 Os 0.5000 0.0000 0.3879 1
```

total magnetic moment: 1.86 μB per cell
ΔE to the lowest computed polymorph: 79 meV/atom
total DFT energy (no corrections): -357.71 eV for the cell shown
energy of formation: 0.1479 eV per atom